(1)
Here is a relaxed Ba2MnSb crystal from the Alexandria database. Energies are from PBE.

The calculation puts the uncorrected formation energy at 0.038 eV per atom.

Cell: 4.777 4.772 7.107 Å, 90.00 90.00 90.00°
Site moments in Bohr magnetons follow the coordinates.
Fractional coordinates of all 4 atoms:
Ba  0.000  0.000  0.931  -0.02
Ba  0.500  0.500  0.313  -0.11
Mn  0.000  0.000  0.470  4.13
Sb  0.500  0.500  0.786  0.04

(2)
Here is a relaxed K3ThS3 crystal from the Alexandria database. Energies are from PBE.

The calculation puts the uncorrected formation energy at -1.361 eV per atom.

Cell: 7.513 7.513 12.136 Å, 71.97 71.97 60.00°
Fractional coordinates of all 14 atoms:
K  0.201  0.902  0.300
K  0.597  0.201  0.300
K  0.902  0.597  0.300
K  0.098  0.403  0.700
K  0.403  0.799  0.700
K  0.799  0.098  0.700
Th  0.667  0.667  0.000
Th  0.333  0.333  0.000
S  0.954  0.335  0.138
S  0.573  0.954  0.138
S  0.335  0.573  0.138
S  0.665  0.427  0.862
S  0.427  0.046  0.862
S  0.046  0.665  0.862

(3)
Here is a relaxed Tm2ZnCl crystal from the Alexandria database. Energies are from PBE.

The calculation puts the uncorrected formation energy at -0.293 eV per atom.

Cell: 3.375 3.375 10.575 Å, 80.82 80.82 60.00°
Fractional coordinates of all 4 atoms:
Zn  0.000  0.000  0.000
Tm  0.095  0.095  0.715
Tm  0.905  0.905  0.285
Cl  0.500  0.500  0.500

(4)
Here is a relaxed TcAsS crystal from the Alexandria database. Energies are from PBE.

The calculation puts the distance to the lowest polymorph of the same formula at 0 meV/atom. The calculation puts the uncorrected formation energy at -0.181 eV per atom.

Cell: 3.328 6.573 5.804 Å, 63.43 90.00 89.96°
Fractional coordinates of all 6 atoms:
Tc  0.500  0.500  0.253
Tc  0.500  0.500  0.747
As  0.000  0.267  0.118
As  0.000  0.733  0.882
S  0.500  0.199  0.652
S  0.500  0.801  0.348

(5)
Here is a relaxed SmHo3Ru2 crystal from the Alexandria database. Energies are from PBE.

The calculated formation energy is -0.300 eV per atom.

Cell: 3.409 3.409 12.367 Å, 90.00 90.00 90.00°
Fractional coordinates of all 6 atoms:
Sm  0.500  0.500  0.500
Ho  0.000  0.000  0.000
Ho  0.000  0.000  0.730
Ho  0.000  0.000  0.270
Ru  0.500  0.500  0.858
Ru  0.500  0.500  0.142

(6)
Here is a relaxed PmFeP2Ru crystal from the Alexandria database. Energies are from PBE.

The calculated formation energy is -0.966 eV per atom.

Cell: 3.967 3.967 5.687 Å, 110.41 110.41 90.00°
Fractional coordinates of all 5 atoms:
Pm  0.000  0.000  0.000
Fe  0.750  0.250  0.500
P  0.633  0.633  0.266
P  0.367  0.367  0.734
Ru  0.250  0.750  0.500

| no. | total magnetic moment (μB/cell) | volume (Å³ per cell) |
| --- | --- | --- |
| 1 | 4.02 | 162.0 |
| 2 | 0.00 | 554.0 |
| 3 | 0.00 | 102.5 |
| 4 | 0.00 | 113.6 |
| 5 | 0.00 | 143.7 |
| 6 | 0.00 | 77.9 |